The following is a DFT calculation (PBE) of an optimized crystal structure of CsAgHg2Se.

```
CsAgHg2Se
1.0
5.676 0.000 0.000
0.000 5.676 0.000
0.000 0.000 5.346
Cs Ag Hg Se
1 1 2 1
Direct
0.000 0.000 0.000
0.500 0.500 0.500
0.000 0.500 0.500
0.500 0.000 0.500
0.500 0.500 0.000
```

M_tot = 0.000 μB/cell
E above lowest polymorph = 0 meV per atom
ΔE_f (raw) = -0.306 eV/atom